# PuPO

An optimized crystal structure of PuPO (PBE, the Alexandria database).

Calculated values
Fermi-level density of states: 2.161 states/eV per atom
M_tot: 3.35 μB/f.u.
E_form (uncorrected): -1.571 eV/atom
VASP energy: -29.4 eV per cell
Energy above the lowest structure with this stoichiometry: 0.431 eV/atom

Cell: 3.7779 3.7779 4.0453 Å, 90.00 90.00 120.00°
Space group P-6m2 (No. 187)
One atom of each set of equivalent atoms:
1 Pu 0.0000 0.0000 0.0000 [1 per cell]
2 P 0.6667 0.3333 0.5000 [1 per cell]
3 O 0.3333 0.6667 0.0000 [1 per cell]